1.
Density functional theory data (PBE) for a relaxed BaCu2Ni crystal.

Unit cell a=4.865 b=4.865 c=4.865 alpha=60.00 beta=60.00 gamma=60.00
Positions (direct):
1 Ba 0.000 0.000 0.000
2 Cu 0.250 0.250 0.250
3 Cu 0.500 0.500 0.500
4 Ni 0.750 0.750 0.750

The total energy comes out at -3.419 eV/atom. Its space group is F-43m (216). The calculation puts the density at 6.59 g/cm3.

2.
Density functional theory data (PBE) for a relaxed BaCuNi2 crystal.

Unit cell a=5.128 b=5.128 c=5.128 alpha=133.20 beta=111.83 gamma=86.77
Positions (direct):
1 Ba 0.000 0.000 0.000
2 Cu 0.333 0.833 0.500
3 Ni 0.518 0.518 0.000
4 Ni 0.657 0.157 0.500

The total energy comes out at -3.997 eV/atom. Its space group is Imm2 (44). The calculation puts the density at 6.06 g/cm3.

3.
Density functional theory data (PBE) for a relaxed BaCuNi2 crystal.

Unit cell a=5.335 b=5.335 c=3.220 alpha=105.07 beta=105.07 gamma=114.75
Positions (direct):
1 Ba 0.000 0.000 0.000
2 Cu 0.500 0.500 0.000
3 Ni 0.000 0.500 0.500
4 Ni 0.500 0.000 0.500

The total energy comes out at -3.728 eV/atom. Its space group is C2/m (12). The calculation puts the density at 7.25 g/cm3.

4.
Density functional theory data (PBE) for a relaxed BaCuNi3 crystal.

Unit cell a=6.801 b=6.801 c=7.021 alpha=94.33 beta=94.33 gamma=32.50
Positions (direct):
1 Ba 0.130 0.130 0.039
2 Ba 0.870 0.870 0.961
3 Cu 0.481 0.481 0.665
4 Cu 0.519 0.519 0.335
5 Ni 0.095 0.095 0.526
6 Ni 0.279 0.279 0.619
7 Ni 0.333 0.333 0.308
8 Ni 0.667 0.667 0.692
9 Ni 0.721 0.721 0.381
10 Ni 0.905 0.905 0.474

The total energy comes out at -4.518 eV/atom. The excess energy over the best structure of this formula in the dataset is 0 meV per atom. Its space group is C2/m (12). The calculation puts the density at 7.20 g/cm3.

5.
Density functional theory data (PBE) for a relaxed Ba3CuNi crystal.

Unit cell a=5.932 b=5.932 c=5.932 alpha=90.00 beta=90.00 gamma=90.00
Positions (direct):
1 Ba 0.000 0.000 0.500
2 Ba 0.000 0.500 0.000
3 Ba 0.500 0.000 0.000
4 Cu 0.500 0.500 0.500
5 Ni 0.000 0.000 0.000

The total energy comes out at -2.886 eV/atom. The excess energy over the best structure of this formula in the dataset is 0 meV per atom. Its space group is Pm-3m (221). The calculation puts the density at 4.25 g/cm3.

6.
Density functional theory data (PBE) for a relaxed Ba2CuNi2 crystal.

Unit cell a=9.721 b=9.721 c=9.721 alpha=25.22 beta=25.22 gamma=25.22
Positions (direct):
1 Ba 0.077 0.077 0.077
2 Ba 0.923 0.923 0.923
3 Cu 0.500 0.500 0.500
4 Ni 0.178 0.178 0.178
5 Ni 0.822 0.822 0.822

The total energy comes out at -3.936 eV/atom. The excess energy over the best structure of this formula in the dataset is 0 meV per atom. Its space group is R-3m (166). The calculation puts the density at 5.16 g/cm3.

7.
Density functional theory data (PBE) for a relaxed BaCuNi2 crystal.

Unit cell a=5.174 b=5.174 c=5.174 alpha=132.98 beta=132.98 gamma=68.68
Positions (direct):
1 Ba 0.000 0.000 0.000
2 Cu 0.250 0.750 0.500
3 Ni 0.500 0.500 0.000
4 Ni 0.750 0.250 0.500

The total energy comes out at -3.801 eV/atom. Its space group is I-4m2 (119). The calculation puts the density at 7.26 g/cm3.

8.
Density functional theory data (PBE) for a relaxed Ba2CuNi crystal.

Unit cell a=4.541 b=4.541 c=8.049 alpha=106.45 beta=106.45 gamma=60.11
Positions (direct):
1 Ba 0.244 0.244 0.231
2 Ba 0.756 0.756 0.769
3 Cu 0.000 0.000 0.500
4 Ni 0.500 0.500 0.000

The total energy comes out at -3.237 eV/atom. Its space group is C2/m (12). The calculation puts the density at 4.85 g/cm3.

9.
Density functional theory data (PBE) for a relaxed Ba2CuNi crystal.

Unit cell a=3.849 b=3.868 c=7.823 alpha=90.00 beta=90.00 gamma=90.00
Positions (direct):
1 Ba 0.000 0.000 0.237
2 Ba 0.000 0.000 0.763
3 Cu 0.500 0.500 0.500
4 Ni 0.500 0.500 0.000

The total energy comes out at -3.291 eV/atom. Its space group is Pmmm (47). The calculation puts the density at 5.66 g/cm3.

10.
Density functional theory data (PBE) for a relaxed Ba2CuNi crystal.

Unit cell a=8.508 b=8.508 c=8.508 alpha=150.53 beta=150.19 gamma=42.41
Positions (direct):
1 Ba 0.000 0.000 0.000
2 Ba 0.731 0.231 0.500
3 Cu 0.583 0.583 0.000
4 Ni 0.141 0.641 0.500

The total energy comes out at -3.376 eV/atom. Its space group is Imm2 (44). The calculation puts the density at 4.39 g/cm3.

11.
Density functional theory data (PBE) for a relaxed Ba8CuNi2 crystal.

Unit cell a=6.737 b=9.009 c=9.011 alpha=76.17 beta=88.15 gamma=88.12
Positions (direct):
1 Ba 0.234 0.326 0.325
2 Ba 0.247 0.893 0.893
3 Ba 0.262 0.384 0.837
4 Ba 0.262 0.838 0.385
5 Ba 0.738 0.162 0.615
6 Ba 0.738 0.616 0.163
7 Ba 0.753 0.107 0.107
8 Ba 0.766 0.674 0.675
9 Cu 0.500 0.500 0.500
10 Ni 0.252 0.112 0.112
11 Ni 0.748 0.888 0.888

The total energy comes out at -2.764 eV/atom. Its space group is P-1 (2). The calculation puts the density at 4.00 g/cm3.

12.
Density functional theory data (PBE) for a relaxed BaCu2Ni crystal.

Unit cell a=4.381 b=4.381 c=4.212 alpha=90.00 beta=90.00 gamma=101.05
Positions (direct):
1 Ba 0.000 0.000 0.000
2 Cu 0.000 0.500 0.500
3 Cu 0.500 0.000 0.500
4 Ni 0.500 0.500 0.000

The total energy comes out at -3.413 eV/atom. Its space group is Cmmm (65). The calculation puts the density at 6.76 g/cm3.

The lowest density belongs to which entry? Ba8CuNi2